No. 1
First-principles (GGA-PBE) data for a relaxed structure of Sr3CoN3, as listed in the Open Quantum Materials Database.

```
data_Sr3CoN3
_space_group_name_H-M_alt 'P 63/m'
_space_group_IT_number 176
_space_group_name_Hall '-P 6c'
_cell_length_a 7.5357
_cell_length_b 7.5357
_cell_length_c 5.2641
_cell_angle_alpha 90.00
_cell_angle_beta 90.00
_cell_angle_gamma 120.00
loop_
_atom_site_label
_atom_site_type_symbol
_atom_site_fract_x
_atom_site_fract_y
_atom_site_fract_z
Sr1 Sr 0.0856 0.3613 0.2500
Co1 Co 0.3333 0.6667 0.7500
N1 N 0.1131 0.4223 0.7500
```



No. 2
First-principles (GGA-PBE) data for a relaxed structure of Sr5Co2N4, as listed in the Open Quantum Materials Database.

```
data_Sr5Co2N4
_space_group_name_H-M_alt 'P 4/n c c'
_space_group_IT_number 130
_cell_length_a 8.631
_cell_length_b 8.631
_cell_length_c 12.340
_cell_angle_alpha 90.00
_cell_angle_beta 90.00
_cell_angle_gamma 90.00
loop_
_space_group_symop_operation_xyz
'x,y,z'
'-x,-y,-z'
'-y+1/2,x,z'
'y+1/2,-x,-z'
'-x+1/2,-y+1/2,z'
'x+1/2,y+1/2,-z'
'y,-x+1/2,z'
'-y,x+1/2,-z'
'x+1/2,-y,-z+1/2'
'-x+1/2,y,z+1/2'
'-y,-x,-z+1/2'
'y,x,z+1/2'
'-x,y+1/2,-z+1/2'
'x,-y+1/2,z+1/2'
'y+1/2,x+1/2,-z+1/2'
'-y+1/2,-x+1/2,z+1/2'
loop_
_atom_site_label
_atom_site_type_symbol
_atom_site_fract_x
_atom_site_fract_y
_atom_site_fract_z
Sr1 Sr 0.074 0.634 0.100
Sr2 Sr 0.250 0.250 0.156
Co1 Co 0.091 0.591 0.750
N1 N 0.048 0.643 0.888
```



No. 3
First-principles (GGA-PBE) data for a relaxed structure of Sr2CoTcN6, as listed in the Open Quantum Materials Database.

```
data_Sr2CoTcN6
_space_group_name_H-M_alt 'C 1 2/m 1'
_space_group_IT_number 12
_space_group_name_Hall '-C 2y'
_cell_length_a 9.500
_cell_length_b 5.509
_cell_length_c 5.492
_cell_angle_alpha 90.00
_cell_angle_beta 125.22
_cell_angle_gamma 90.00
loop_
_atom_site_label
_atom_site_type_symbol
_atom_site_fract_x
_atom_site_fract_y
_atom_site_fract_z
Sr1 Sr 0.250 0.000 0.250
Co1 Co 0.000 0.000 0.500
Tc1 Tc 0.000 0.500 0.000
N1 N 0.000 0.247 0.253
N2 N 0.247 0.000 0.747
```



No. 4
First-principles (GGA-PBE) data for a relaxed structure of Ta2CoN, as listed in the Open Quantum Materials Database.

```
data_Ta2CoN
_space_group_name_H-M_alt 'C 1 2/c 1'
_space_group_IT_number 15
_space_group_name_Hall '-C 2yc'
_cell_length_a 9.011
_cell_length_b 5.176
_cell_length_c 13.421
_cell_angle_alpha 90.00
_cell_angle_beta 102.72
_cell_angle_gamma 90.00
loop_
_atom_site_label
_atom_site_type_symbol
_atom_site_fract_x
_atom_site_fract_y
_atom_site_fract_z
Ta1 Ta 0.036 0.081 0.367
Ta2 Ta 0.114 0.412 0.593
Ta3 Ta 0.221 0.418 0.907
Co1 Co 0.000 0.383 0.750
Co2 Co 0.234 0.320 0.249
N1 N 0.076 0.227 0.000
N2 N 0.250 0.250 0.500
```



No. 5
First-principles (GGA-PBE) data for a relaxed structure of Ta2CoN, as listed in the Open Quantum Materials Database.

```
data_Ta2CoN
_space_group_name_H-M_alt 'P 63/m m c'
_space_group_IT_number 194
_space_group_name_Hall '-P 6c 2c'
_cell_length_a 3.0555
_cell_length_b 3.0555
_cell_length_c 12.9023
_cell_angle_alpha 90.00
_cell_angle_beta 90.00
_cell_angle_gamma 120.00
loop_
_atom_site_label
_atom_site_type_symbol
_atom_site_fract_x
_atom_site_fract_y
_atom_site_fract_z
Ta1 Ta 0.3333 0.6667 0.0982
Co1 Co 0.3333 0.6667 0.7500
N1 N 0.0000 0.0000 0.0000
```



No. 6
First-principles (GGA-PBE) data for a relaxed structure of Ta4Co3W2N3, as listed in the Open Quantum Materials Database.

```
data_Ta4Co3W2N3
_space_group_name_H-M_alt 'C 1 2/c 1'
_space_group_IT_number 15
_space_group_name_Hall '-C 2yc'
_cell_length_a 8.811
_cell_length_b 5.122
_cell_length_c 14.037
_cell_angle_alpha 90.00
_cell_angle_beta 102.30
_cell_angle_gamma 90.00
loop_
_atom_site_label
_atom_site_type_symbol
_atom_site_fract_x
_atom_site_fract_y
_atom_site_fract_z
Ta1 Ta 0.113 0.094 0.092
Ta2 Ta 0.226 0.081 0.409
Co1 Co 0.000 0.075 0.250
Co2 Co 0.247 0.339 0.252
W1 W 0.029 0.415 0.837
N1 N 0.085 0.245 0.500
N2 N 0.250 0.250 0.000
```



No. 7
First-principles (GGA-PBE) data for a relaxed structure of Y4Ta2Co3N3, as listed in the Open Quantum Materials Database.

```
data_Y4Ta2Co3N3
_space_group_name_H-M_alt 'C 1 2/c 1'
_space_group_IT_number 15
_space_group_name_Hall '-C 2yc'
_cell_length_a 9.978
_cell_length_b 5.793
_cell_length_c 13.684
_cell_angle_alpha 90.00
_cell_angle_beta 104.67
_cell_angle_gamma 90.00
loop_
_atom_site_label
_atom_site_type_symbol
_atom_site_fract_x
_atom_site_fract_y
_atom_site_fract_z
Y1 Y 0.121 0.075 0.112
Y2 Y 0.208 0.087 0.388
Ta1 Ta 0.062 0.411 0.920
Co1 Co 0.000 0.351 0.250
Co2 Co 0.120 0.300 0.749
N1 N 0.077 0.269 0.500
N2 N 0.250 0.250 0.000
```



No. 8
First-principles (GGA-PBE) data for a relaxed structure of Y2Ta4Co3N3, as listed in the Open Quantum Materials Database.

```
data_Y2Ta4Co3N3
_space_group_name_H-M_alt 'C 1 2/c 1'
_space_group_IT_number 15
_space_group_name_Hall '-C 2yc'
_cell_length_a 9.377
_cell_length_b 5.420
_cell_length_c 13.532
_cell_angle_alpha 90.00
_cell_angle_beta 103.70
_cell_angle_gamma 90.00
loop_
_atom_site_label
_atom_site_type_symbol
_atom_site_fract_x
_atom_site_fract_y
_atom_site_fract_z
Y1 Y 0.040 0.084 0.373
Ta1 Ta 0.114 0.410 0.592
Ta2 Ta 0.222 0.417 0.907
Co1 Co 0.000 0.420 0.750
Co2 Co 0.247 0.162 0.751
N1 N 0.084 0.253 0.000
N2 N 0.250 0.250 0.500
```



no.,DFT total energy (eV per atom)
1,-5.825
2,-5.610
3,-6.837
4,-10.330
5,-10.241
6,-10.297
7,-8.630
8,-9.630